DFT (PBE) results for crystalline La2AsP at its relaxed geometry.

```
La2AsP
1.0
-2.065 3.675 0.977
-3.945 0.758 -1.610
-4.906 -1.649 5.424
P As La
1 1 2
direct
0.750 0.750 0.750 P
0.250 0.250 0.250 As
0.002 0.002 0.994 La
0.498 0.498 0.506 La
```

Values from the calculation:
Calculated total energy (eV/atom): -6.552
E_form (eV per atom): -1.573
Symmetry: No. 166
Size of the total moment (μB per cell): 0.00

=====

DFT (PBE) results for crystalline CdHgH2 at its relaxed geometry.

```
CdHgH2
1.0
-0.795 -1.422 -5.823
1.664 -5.695 1.164
-3.632 -4.583 -1.524
H Hg Cd
4 2 2
direct
0.384 0.125 0.250 H
0.366 0.625 0.250 H
0.375 0.616 0.750 H
0.875 0.634 0.750 H
0.000 0.000 0.000 Hg
0.750 0.250 0.500 Hg
0.500 0.500 0.000 Cd
0.250 0.750 0.500 Cd
```

Values from the calculation:
Calculated total energy (eV/atom): -1.793
Symmetry: No. 122
Size of the total moment (μB per cell): 0.00

=====

DFT (PBE) results for crystalline Ba2YRu at its relaxed geometry.

```
Ba2YRu
1.0
0.000 3.979 3.979
3.979 0.000 3.979
3.979 3.979 0.000
Y Ru Ba
1 1 2
direct
0.000 0.000 0.000 Y
0.500 0.500 0.500 Ru
0.250 0.250 0.250 Ba
0.750 0.750 0.750 Ba
```

Values from the calculation:
Calculated total energy (eV/atom): -4.159
E_form (eV per atom): 0.738
Symmetry: No. 225
Size of the total moment (μB per cell): 0.00

=====

DFT (PBE) results for crystalline Ac2NdDySe5 at its relaxed geometry.

```
Ac2NdDySe5
1.0
4.240 0.000 0.000
-2.120 8.966 0.000
0.000 0.000 14.239
Ac Nd Dy Se
4 2 2 10
direct
0.862 0.724 0.803 Ac
0.088 0.175 0.644 Ac
0.138 0.276 0.303 Ac
0.912 0.825 0.144 Ac
0.548 0.097 0.950 Nd
0.452 0.903 0.450 Nd
0.774 0.548 0.530 Dy
0.226 0.452 0.030 Dy
0.381 0.762 0.982 Se
0.703 0.407 0.894 Se
0.495 0.989 0.762 Se
0.261 0.521 0.675 Se
0.924 0.848 0.583 Se
0.619 0.238 0.482 Se
0.297 0.593 0.394 Se
0.505 0.011 0.262 Se
0.739 0.479 0.175 Se
0.076 0.152 0.083 Se
```

Values from the calculation:
Calculated total energy (eV/atom): -5.710
Symmetry: No. 36
Size of the total moment (μB per cell): 0.00
Formation energy (no corrections) (eV/f.u.): -16.38

=====

DFT (PBE) results for crystalline TiNb2Tc2 at its relaxed geometry.

```
TiNb2Tc2
1.0
7.332 0.000 0.000
0.000 7.332 0.000
0.000 0.000 3.213
Nb Tc Ti
4 4 2
direct
0.161 0.661 0.500 Nb
0.661 0.839 0.500 Nb
0.839 0.339 0.500 Nb
0.339 0.161 0.500 Nb
0.357 0.857 0.000 Tc
0.857 0.643 0.000 Tc
0.643 0.143 0.000 Tc
0.143 0.357 0.000 Tc
0.000 0.000 0.000 Ti
0.500 0.500 0.000 Ti
```

Values from the calculation:
Calculated total energy (eV/atom): -9.649
E_form (eV per atom): 0.104
Symmetry: No. 127
Size of the total moment (μB per cell): 0.00

=====

DFT (PBE) results for crystalline Mn2Ir at its relaxed geometry.

```
Mn2Ir
1.0
4.217 -1.917 -0.699
0.873 -4.350 1.503
0.505 -3.487 -3.087
Mn Ir
4 2
direct
0.625 0.625 0.625 Mn
0.125 0.625 0.625 Mn
0.625 0.125 0.625 Mn
0.625 0.625 0.125 Mn
0.000 0.000 0.000 Ir
0.250 0.250 0.250 Ir
```

Values from the calculation:
Calculated total energy (eV/atom): -9.079
E_form (eV per atom): -0.012
Symmetry: No. 227
Size of the total moment (μB per cell): 3.91

=====

DFT (PBE) results for crystalline PmPu2NpN4 at its relaxed geometry.

```
PmPu2NpN4
1.0
3.495 0.000 0.000
0.000 6.068 0.106
0.000 -2.120 5.668
Pm Pu Np N
1 2 1 4
direct
0.000 0.000 0.000 Pm
0.500 0.000 0.500 Pu
0.000 0.500 0.500 Pu
0.500 0.500 0.000 Np
0.500 0.276 0.255 N
0.500 0.724 0.745 N
0.000 0.269 0.757 N
0.000 0.731 0.243 N
```

Values from the calculation:
Calculated total energy (eV/atom): -11.176
Symmetry: No. 10
Size of the total moment (μB per cell): 2.17
Formation energy (no corrections) (eV/f.u.): -9.75

=====

DFT (PBE) results for crystalline LaPr5Er5 at its relaxed geometry.

```
LaPr5Er5
1.0
6.158 0.000 0.000
-3.079 5.333 0.000
0.000 0.000 11.923
La Pr Er
1 5 5
direct
0.333 0.667 0.000 La
0.667 0.333 0.157 Pr
0.667 0.333 0.843 Pr
0.333 0.667 0.320 Pr
0.333 0.667 0.680 Pr
0.000 0.000 0.000 Pr
0.332 0.166 0.500 Er
0.000 0.000 0.266 Er
0.834 0.668 0.500 Er
0.834 0.166 0.500 Er
0.000 0.000 0.734 Er
```

Values from the calculation:
Calculated total energy (eV/atom): -4.425
E_form (eV per atom): 0.269
Symmetry: No. 187
Size of the total moment (μB per cell): 0.03

=====

DFT (PBE) results for crystalline BPHAu at its relaxed geometry.

```
BPHAu
1.0
5.547 0.000 0.016
0.000 3.329 0.000
-1.670 0.000 5.407
B P H Au
2 2 2 2
direct
0.565 0.000 0.462 B
0.565 0.500 0.962 B
0.659 0.000 0.156 P
0.659 0.500 0.656 P
0.129 0.000 0.873 H
0.129 0.500 0.373 H
0.133 0.000 0.308 Au
0.133 0.500 0.808 Au
```

Values from the calculation:
Calculated total energy (eV/atom): -4.586
Symmetry: No. 8
Size of the total moment (μB per cell): 0.00

=====

DFT (PBE) results for crystalline Mg2AlAs at its relaxed geometry.

```
Mg2AlAs
1.0
4.691 0.000 0.000
0.000 3.042 0.038
0.000 1.580 5.538
Al As Mg
1 1 2
direct
0.000 0.701 0.479 Al
0.500 0.550 0.774 As
0.000 0.953 0.953 Mg
0.500 0.295 0.293 Mg
```

Values from the calculation:
Calculated total energy (eV/atom): -2.977
E_form (eV per atom): -0.082
Symmetry: No. 6
Size of the total moment (μB per cell): 0.00